# 1
Below is a relaxed structure of MgCuTe2, with properties calculated at the PBE level.

The calculation puts the calculated density at 6.15 Mg/m³. The value obtained for the density of states at the Fermi level is 0.189 states/eV/atom. For the total moment, the calculation gives 0.000 μB per cell. The calculation puts the relative energy among the computed polymorphs at 0.376 eV per atom. Its uncorrected formation energy is 0.03 eV/atom. Its uncorrected energy is -2.964 eV per atom.

The structure belongs to space group P4/mmm (No. 123); the cell edges are 3.8437, 3.8437 and 6.2675 Å and the angles 90.00°, 90.00° and 90.00°. The asymmetric unit holds Mg at (0.0000, 0.0000, 0.0000), Cu at (0.0000, 0.0000, 0.5000) and Te at (0.5000, 0.5000, 0.2542).

# 2
Below is a relaxed structure of Ni5As3Pd, with properties calculated at the PBE level.

Its calculated formation energy is -220 meV/atom. The calculation puts the calculated density at 8.12 Mg/m³. The value obtained for the density of states at the Fermi level is 0.719 states/eV/atom. For the total moment, the calculation gives 0.000 μB per cell. Its uncorrected energy is -5.559 eV per atom.

The structure belongs to space group Cmcm (No. 63); the cell edges are 3.6425, 12.6976 and 11.0535 Å and the angles 90.00°, 90.00° and 90.00°. The asymmetric unit holds Ni at (0.0000, 0.0000, 0.0000), Ni at (0.0000, 0.1971, 0.0507), Ni at (0.0000, 0.4288, 0.6344), As at (0.0000, 0.1390, 0.2500), As at (0.0000, 0.3801, 0.0765) and Pd at (0.0000, 0.0646, 0.7500).

# 3
Below is a relaxed structure of DySc2Rh, with properties calculated at the PBE level.

Its calculated formation energy is -456 meV/atom. The calculation puts the calculated density at 6.63 Mg/m³. The value obtained for the density of states at the Fermi level is 1.207 states/eV/atom. For the total moment, the calculation gives 0.000 μB per cell. The calculation puts the relative energy among the computed polymorphs at 0.072 eV per atom. Its uncorrected energy is -6.610 eV per atom.

The structure belongs to space group P4/mmm (No. 123); the cell edges are 3.2956, 3.2956 and 8.1914 Å and the angles 90.00°, 90.00° and 90.00°. The asymmetric unit holds Dy at (0.0000, 0.0000, 0.0000), Sc at (0.5000, 0.5000, 0.3099) and Rh at (0.0000, 0.0000, 0.5000).

# 4
Below is a relaxed structure of TaNb4Mo2, with properties calculated at the PBE level.

Its calculated formation energy is 543 meV/atom. The calculation puts the calculated density at 9.13 Mg/m³. The value obtained for the density of states at the Fermi level is 0.991 states/eV/atom. For the total moment, the calculation gives 0.000 μB per cell. The calculation puts the relative energy among the computed polymorphs at 0.141 eV per atom. Its uncorrected energy is -9.999 eV per atom.

The structure belongs to space group I422 (No. 97); the cell edges are 5.3962, 5.3962 and 9.3018 Å and the angles 90.00°, 90.00° and 90.00°. The asymmetric unit holds Ta at (0.0000, 0.0000, 0.0000), Nb at (0.2295, 0.2705, 0.7500) and Mo at (0.0000, 0.5000, 0.0000).

# 5
Below is a relaxed structure of Dy2BiTe4, with properties calculated at the PBE level.

The calculation puts the calculated density at 6.95 Mg/m³. The value obtained for the density of states at the Fermi level is 0.324 states/eV/atom. For the total moment, the calculation gives 0.000 μB per cell. Its uncorrected formation energy is -0.95 eV/atom. Its uncorrected energy is -4.615 eV per atom.

The structure belongs to space group C2/m (No. 12); the cell edges are 16.9053, 4.2815 and 7.6680 Å and the angles 90.00°, 115.98° and 90.00°. The asymmetric unit holds Dy at (0.2422, 0.0000, 0.2220), Bi at (0.0000, 0.5000, 0.5000), Te at (0.1242, 0.5000, 0.9542) and Te at (0.1400, 0.0000, 0.4746).

# 6
Below is a relaxed structure of YIr3Cl, with properties calculated at the PBE level.

The calculation puts the calculated density at 12.62 Mg/m³. The value obtained for the density of states at the Fermi level is 0.714 states/eV/atom. For the total moment, the calculation gives 0.000 μB per cell. The calculation puts the relative energy among the computed polymorphs at 0.000 eV per atom. Its uncorrected formation energy is 0.68 eV/atom. Its uncorrected energy is -6.296 eV per atom.

The structure belongs to space group Pm-3m (No. 221); the cell edges are 4.5188, 4.5188 and 4.5188 Å and the angles 90.00°, 90.00° and 90.00°. The asymmetric unit holds Y at (0.0000, 0.0000, 0.0000), Ir at (0.0000, 0.5000, 0.5000) and Cl at (0.5000, 0.5000, 0.5000).